Record 1
Compound: K2NaTlZn
Source: the Alexandria database
Functional: PBE-GGA
Structure: relaxed

For the formation energy, the calculation gives 106 meV per atom. Its density of states at the Fermi level is 2.42 states/eV/cell. Its crystal system is tetragonal.

It has space group P4/mmm (No. 123), with a = 6.5571 Å, b = 6.5571 Å, c = 5.3804 Å, α = 90.00°, β = 90.00° and γ = 90.00°. The inequivalent atoms are K at (0.0000, 0.5000, 0.0000), Na at (0.0000, 0.0000, 0.5000), Tl at (0.5000, 0.5000, 0.5000) and Zn at (0.5000, 0.5000, 0.0000).

---

Record 2
Compound: KNaTlZn
Source: the Alexandria database
Functional: PBE-GGA
Structure: relaxed

For the formation energy, the calculation gives 49 meV per atom. Its density of states at the Fermi level is 9.17 states/eV/cell. Its crystal system is cubic.

It has space group F-43m (No. 216), with a = 7.7453 Å, b = 7.7453 Å, c = 7.7453 Å, α = 90.00°, β = 90.00° and γ = 90.00°. The inequivalent atoms are K at (0.0000, 0.0000, 0.0000), Na at (0.2500, 0.2500, 0.7500), Tl at (0.0000, 0.0000, 0.5000) and Zn at (0.2500, 0.2500, 0.2500).

---

Record 3
Compound: KNa2Tm
Source: the Alexandria database
Functional: PBE-GGA
Structure: relaxed

For the formation energy, the calculation gives 345 meV per atom. Its density of states at the Fermi level is 10.64 states/eV/cell. Its crystal system is trigonal.

It has space group R-3m (No. 166, hexagonal axes), with a = 3.6068 Å, b = 3.6068 Å, c = 42.5267 Å, α = 90.00°, β = 90.00° and γ = 120.00°. The inequivalent atoms are K at (0.0000, 0.0000, 0.0000), Na at (0.0000, 0.0000, 0.4199) and Tm at (0.0000, 0.0000, 0.5000).

---

Record 4
Compound: KNaV2
Source: the Alexandria database
Functional: PBE-GGA
Structure: relaxed

For the formation energy, the calculation gives 1711 meV per atom. Its density of states at the Fermi level is 24.03 states/eV/cell. Its crystal system is tetragonal.

It has space group I-42d (No. 122), with a = 8.8353 Å, b = 8.8353 Å, c = 5.0961 Å, α = 90.00°, β = 90.00° and γ = 90.00°. The inequivalent atoms are K at (0.0000, 0.0000, 0.0000), Na at (0.0000, 0.0000, 0.5000) and V at (0.2417, 0.2500, 0.6250).

---

Record 5
Compound: KNaV3
Source: the Alexandria database
Functional: PBE-GGA
Structure: relaxed

For the formation energy, the calculation gives 2588 meV per atom. Its density of states at the Fermi level is 8.99 states/eV/cell. Its crystal system is cubic.

It has space group Pm-3m (No. 221), with a = 4.7786 Å, b = 4.7786 Å, c = 4.7786 Å, α = 90.00°, β = 90.00° and γ = 90.00°. The inequivalent atoms are K at (0.0000, 0.0000, 0.0000), Na at (0.5000, 0.5000, 0.5000) and V at (0.0000, 0.0000, 0.5000).

---

Record 6
Compound: KNa3V
Source: the Alexandria database
Functional: PBE-GGA
Structure: relaxed

For the formation energy, the calculation gives 734 meV per atom. Its density of states at the Fermi level is 9.39 states/eV/cell. Its crystal system is cubic.

It has space group Pm-3m (No. 221), with a = 6.0280 Å, b = 6.0280 Å, c = 6.0280 Å, α = 90.00°, β = 90.00° and γ = 90.00°. The inequivalent atoms are K at (0.0000, 0.0000, 0.0000), Na at (0.0000, 0.5000, 0.5000) and V at (0.5000, 0.5000, 0.5000).

---

Record 7
Compound: KNa3V
Source: the Alexandria database
Functional: PBE-GGA
Structure: relaxed

For the formation energy, the calculation gives 1150 meV per atom. Its density of states at the Fermi level is 6.55 states/eV/cell. Its crystal system is cubic.

It has space group Pm-3m (No. 221), with a = 5.9420 Å, b = 5.9420 Å, c = 5.9420 Å, α = 90.00°, β = 90.00° and γ = 90.00°. The inequivalent atoms are K at (0.0000, 0.0000, 0.0000), Na at (0.0000, 0.0000, 0.5000) and V at (0.5000, 0.5000, 0.5000).

---

Record 8
Compound: KNaV2
Source: the Alexandria database
Functional: PBE-GGA
Structure: relaxed

For the formation energy, the calculation gives 1573 meV per atom. Its density of states at the Fermi level is 42.16 states/eV/cell. Its crystal system is cubic.

It has space group Fm-3m (No. 225), with a = 7.7714 Å, b = 7.7714 Å, c = 7.7714 Å, α = 90.00°, β = 90.00° and γ = 90.00°. The inequivalent atoms are K at (0.0000, 0.0000, 0.0000), Na at (0.0000, 0.0000, 0.5000) and V at (0.2500, 0.2500, 0.2500).

---

Record 9
Compound: KNa2V
Source: the Alexandria database
Functional: PBE-GGA
Structure: relaxed

For the formation energy, the calculation gives 805 meV per atom. Its density of states at the Fermi level is 31.56 states/eV/cell. Its crystal system is cubic.

It has space group Fm-3m (No. 225), with a = 8.2198 Å, b = 8.2198 Å, c = 8.2198 Å, α = 90.00°, β = 90.00° and γ = 90.00°. The inequivalent atoms are K at (0.0000, 0.0000, 0.0000), Na at (0.2500, 0.2500, 0.2500) and V at (0.0000, 0.0000, 0.5000).

---

Record 10
Compound: KNa2V
Source: the Alexandria database
Functional: PBE-GGA
Structure: relaxed

For the formation energy, the calculation gives 896 meV per atom. Its density of states at the Fermi level is 27.92 states/eV/cell. Its crystal system is tetragonal.

It has space group I-42d (No. 122), with a = 9.2406 Å, b = 9.2406 Å, c = 7.0705 Å, α = 90.00°, β = 90.00° and γ = 90.00°. The inequivalent atoms are K at (0.0000, 0.0000, 0.0000), Na at (0.2137, 0.7500, 0.6250) and V at (0.0000, 0.0000, 0.5000).

---

Record 11
Compound: K2NaV
Source: the Alexandria database
Functional: PBE-GGA
Structure: relaxed

For the formation energy, the calculation gives 948 meV per atom. Its density of states at the Fermi level is 34.06 states/eV/cell. Its crystal system is tetragonal.

It has space group I-42d (No. 122), with a = 9.8506 Å, b = 9.8506 Å, c = 7.2115 Å, α = 90.00°, β = 90.00° and γ = 90.00°. The inequivalent atoms are K at (0.2408, 0.2500, 0.1250), Na at (0.0000, 0.0000, 0.5000) and V at (0.0000, 0.0000, 0.0000).

---

Record 12
Compound: K2NaV
Source: the Alexandria database
Functional: PBE-GGA
Structure: relaxed

For the formation energy, the calculation gives 870 meV per atom. Its density of states at the Fermi level is 46.10 states/eV/cell. Its crystal system is cubic.

It has space group Fm-3m (No. 225), with a = 8.8088 Å, b = 8.8088 Å, c = 8.8088 Å, α = 90.00°, β = 90.00° and γ = 90.00°. The inequivalent atoms are K at (0.2500, 0.2500, 0.2500), Na at (0.0000, 0.0000, 0.0000) and V at (0.0000, 0.0000, 0.5000).

---

Record 13
Compound: KNa3W
Source: the Alexandria database
Functional: PBE-GGA
Structure: relaxed

For the formation energy, the calculation gives 1249 meV per atom. Its density of states at the Fermi level is 3.76 states/eV/cell. Its crystal system is cubic.

It has space group Pm-3m (No. 221), with a = 6.1211 Å, b = 6.1211 Å, c = 6.1211 Å, α = 90.00°, β = 90.00° and γ = 90.00°. The inequivalent atoms are K at (0.0000, 0.0000, 0.0000), Na at (0.0000, 0.5000, 0.5000) and W at (0.5000, 0.5000, 0.5000).

---

Record 14
Compound: K2NaW
Source: the Alexandria database
Functional: PBE-GGA
Structure: relaxed

For the formation energy, the calculation gives 1585 meV per atom. Its density of states at the Fermi level is 8.73 states/eV/cell. Its crystal system is tetragonal.

It has space group I-42d (No. 122), with a = 9.8710 Å, b = 9.8710 Å, c = 7.0816 Å, α = 90.00°, β = 90.00° and γ = 90.00°. The inequivalent atoms are K at (0.2407, 0.2500, 0.1250), Na at (0.0000, 0.0000, 0.5000) and W at (0.0000, 0.0000, 0.0000).

---

Record 15
Compound: K2NaW
Source: the Alexandria database
Functional: PBE-GGA
Structure: relaxed

For the formation energy, the calculation gives 1474 meV per atom. Its density of states at the Fermi level is 6.54 states/eV/cell. Its crystal system is cubic.

It has space group Fm-3m (No. 225), with a = 8.6661 Å, b = 8.6661 Å, c = 8.6661 Å, α = 90.00°, β = 90.00° and γ = 90.00°. The inequivalent atoms are K at (0.2500, 0.2500, 0.2500), Na at (0.0000, 0.0000, 0.0000) and W at (0.0000, 0.0000, 0.5000).

---

Record 16
Compound: KNa3W
Source: the Alexandria database
Functional: PBE-GGA
Structure: relaxed

For the formation energy, the calculation gives 1713 meV per atom. Its density of states at the Fermi level is 3.13 states/eV/cell. Its crystal system is cubic.

It has space group Pm-3m (No. 221), with a = 5.8167 Å, b = 5.8167 Å, c = 5.8167 Å, α = 90.00°, β = 90.00° and γ = 90.00°. The inequivalent atoms are K at (0.0000, 0.0000, 0.0000), Na at (0.0000, 0.0000, 0.5000) and W at (0.5000, 0.5000, 0.5000).

---

Record 17
Compound: KNaY2
Source: the Alexandria database
Functional: PBE-GGA
Structure: relaxed

For the formation energy, the calculation gives 749 meV per atom. Its density of states at the Fermi level is 21.24 states/eV/cell. Its crystal system is tetragonal.

It has space group I-42d (No. 122), with a = 9.5231 Å, b = 9.5231 Å, c = 6.6637 Å, α = 90.00°, β = 90.00° and γ = 90.00°. The inequivalent atoms are K at (0.0000, 0.0000, 0.0000), Na at (0.0000, 0.0000, 0.5000) and Y at (0.2352, 0.7500, 0.6250).

---

Record 18
Compound: K3NaY
Source: the Alexandria database
Functional: PBE-GGA
Structure: relaxed

For the formation energy, the calculation gives 660 meV per atom. Its density of states at the Fermi level is 4.93 states/eV/cell. Its crystal system is cubic.

It has space group Pm-3m (No. 221), with a = 6.6387 Å, b = 6.6387 Å, c = 6.6387 Å, α = 90.00°, β = 90.00° and γ = 90.00°. The inequivalent atoms are K at (0.0000, 0.0000, 0.5000), Na at (0.0000, 0.0000, 0.0000) and Y at (0.5000, 0.5000, 0.5000).

---

Record 19
Compound: KNa3Y
Source: the Alexandria database
Functional: PBE-GGA
Structure: relaxed

For the formation energy, the calculation gives 674 meV per atom. Its density of states at the Fermi level is 6.22 states/eV/cell. Its crystal system is cubic.

It has space group Pm-3m (No. 221), with a = 6.6549 Å, b = 6.6549 Å, c = 6.6549 Å, α = 90.00°, β = 90.00° and γ = 90.00°. The inequivalent atoms are K at (0.0000, 0.0000, 0.0000), Na at (0.0000, 0.5000, 0.5000) and Y at (0.5000, 0.5000, 0.5000).

---

Record 20
Compound: K2Na2Y
Source: the Alexandria database
Functional: PBE-GGA
Structure: relaxed

For the formation energy, the calculation gives 380 meV per atom. Its density of states at the Fermi level is 7.97 states/eV/cell. Its crystal system is tetragonal.

It has space group P4/mbm (No. 127), with a = 10.6703 Å, b = 10.6703 Å, c = 3.8744 Å, α = 90.00°, β = 90.00° and γ = 90.00°. The inequivalent atoms are K at (0.1709, 0.3291, 0.0000), Na at (0.1317, 0.6317, 0.5000) and Y at (0.0000, 0.0000, 0.5000).

---

Record 21
Compound: KNaY2
Source: the Alexandria database
Functional: PBE-GGA
Structure: relaxed

For the formation energy, the calculation gives 666 meV per atom. Its density of states at the Fermi level is 24.27 states/eV/cell. Its crystal system is cubic.

It has space group Fm-3m (No. 225), with a = 8.4071 Å, b = 8.4071 Å, c = 8.4071 Å, α = 90.00°, β = 90.00° and γ = 90.00°. The inequivalent atoms are K at (0.0000, 0.0000, 0.0000), Na at (0.0000, 0.0000, 0.5000) and Y at (0.2500, 0.2500, 0.2500).

---

Record 22
Compound: K3NaY
Source: the Alexandria database
Functional: PBE-GGA
Structure: relaxed

For the formation energy, the calculation gives 801 meV per atom. Its density of states at the Fermi level is 6.96 states/eV/cell. Its crystal system is cubic.

It has space group Pm-3m (No. 221), with a = 7.3166 Å, b = 7.3166 Å, c = 7.3166 Å, α = 90.00°, β = 90.00° and γ = 90.00°. The inequivalent atoms are K at (0.0000, 0.0000, 0.5000), Na at (0.5000, 0.5000, 0.5000) and Y at (0.0000, 0.0000, 0.0000).

---

Record 23
Compound: KNa2Zn
Source: the Alexandria database
Functional: PBE-GGA
Structure: relaxed

For the formation energy, the calculation gives 172 meV per atom. Its density of states at the Fermi level is 9.84 states/eV/cell. Its crystal system is tetragonal.

It has space group I-42d (No. 122), with a = 5.0125 Å, b = 5.0125 Å, c = 24.3116 Å, α = 90.00°, β = 90.00° and γ = 90.00°. The inequivalent atoms are K at (0.0000, 0.0000, 0.0000), Na at (0.2108, 0.2500, 0.6250) and Zn at (0.0000, 0.0000, 0.5000).

---

Record 24
Compound: K3NaZn
Source: the Alexandria database
Functional: PBE-GGA
Structure: relaxed

For the formation energy, the calculation gives 156 meV per atom. Its density of states at the Fermi level is 4.22 states/eV/cell. Its crystal system is cubic.

It has space group Pm-3m (No. 221), with a = 6.6333 Å, b = 6.6333 Å, c = 6.6333 Å, α = 90.00°, β = 90.00° and γ = 90.00°. The inequivalent atoms are K at (0.0000, 0.0000, 0.5000), Na at (0.5000, 0.5000, 0.5000) and Zn at (0.0000, 0.0000, 0.0000).

---

Record 25
Compound: KNa2Zn
Source: the Alexandria database
Functional: PBE-GGA
Structure: relaxed

For the formation energy, the calculation gives 127 meV per atom. Its density of states at the Fermi level is 1.91 states/eV/cell. Its crystal system is tetragonal.

It has space group P4/mmm (No. 123), with a = 5.1275 Å, b = 5.1275 Å, c = 5.4679 Å, α = 90.00°, β = 90.00° and γ = 90.00°. The inequivalent atoms are K at (0.0000, 0.0000, 0.0000), Na at (0.0000, 0.5000, 0.5000) and Zn at (0.5000, 0.5000, 0.0000).

---

Record 26
Compound: KNa2Zn
Source: the Alexandria database
Functional: PBE-GGA
Structure: relaxed

For the formation energy, the calculation gives 99 meV per atom. Its density of states at the Fermi level is 1.67 states/eV/cell. Its crystal system is tetragonal.

It has space group P4/mmm (No. 123), with a = 3.9401 Å, b = 3.9401 Å, c = 9.4535 Å, α = 90.00°, β = 90.00° and γ = 90.00°. The inequivalent atoms are K at (0.0000, 0.0000, 0.0000), Na at (0.5000, 0.5000, 0.3273) and Zn at (0.0000, 0.0000, 0.5000).

---

Record 27
Compound: KNaZn
Source: the Alexandria database
Functional: PBE-GGA
Structure: relaxed

For the formation energy, the calculation gives 120 meV per atom. Its density of states at the Fermi level is 2.76 states/eV/cell. Its crystal system is tetragonal.

It has space group I4mm (No. 107), with a = 4.0573 Å, b = 4.0573 Å, c = 13.1670 Å, α = 90.00°, β = 90.00° and γ = 90.00°. The inequivalent atoms are K at (0.0000, 0.0000, 0.0000), Na at (0.0000, 0.0000, 0.2773) and Zn at (0.0000, 0.0000, 0.6732).

---

Record 28
Compound: KNaZn
Source: the Alexandria database
Functional: PBE-GGA
Structure: relaxed

For the formation energy, the calculation gives 51 meV per atom. Its density of states at the Fermi level is 5.98 states/eV/cell. Its crystal system is orthorhombic.

It has space group Pnma (No. 62), with a = 12.8391 Å, b = 4.7490 Å, c = 7.4805 Å, α = 90.00°, β = 90.00° and γ = 90.00°. The inequivalent atoms are K at (0.2239, 0.2500, 0.1607), Na at (0.0231, 0.2500, 0.6652) and Zn at (0.0311, 0.7500, 0.9504).

---

| no. | energy (eV/atom) |
| --- | --- |
| 1 | -1.32 |
| 2 | -1.47 |
| 3 | -1.71 |
| 4 | -3.45 |
| 5 | -3.37 |
| 6 | -2.10 |
| 7 | -1.68 |
| 8 | -3.59 |
| 9 | -2.41 |
| 10 | -2.32 |
| 11 | -2.21 |
| 12 | -2.29 |
| 13 | -2.35 |
| 14 | -2.53 |
| 15 | -2.64 |
| 16 | -1.89 |
| 17 | -3.09 |
| 18 | -1.56 |
| 19 | -1.63 |
| 20 | -1.88 |
| 21 | -3.17 |
| 22 | -1.41 |
| 23 | -1.08 |
| 24 | -1.02 |
| 25 | -1.13 |
| 26 | -1.15 |
| 27 | -1.11 |
| 28 | -1.18 |